ErAgPbS3: optimized geometry, GGA-PBE.

abc: 11.826 4.064 11.686
angles: 90.00 90.00 90.00
Space group Pnma (No. 62)
Symmetry-distinct sites (fractional):
Er 0.027 0.250 0.168 x4
Ag 0.245 0.750 0.312 x4
Pb 0.164 0.250 0.517 x4
S 0.031 0.750 0.340 x4
S 0.085 0.250 0.933 x4
S 0.245 0.750 0.669 x4

Total energy (eV/f.u.): -29.41
Volume (A^3/atom): 23.40
Density (g cm⁻³): 6.84



Cs2GdNbO4: optimized geometry, GGA-PBE.

abc: 3.5051 3.5051 13.3185
angles: 90.00 90.00 120.00
Space group P-3m1 (No. 164)
Symmetry-distinct sites (fractional):
Cs 0.3333 0.6667 0.2582 x2
Gd 0.0000 0.0000 0.0000 x1
Nb 0.0000 0.0000 0.5000 x1
O 0.3333 0.6667 0.5701 x2
O 0.3333 0.6667 0.9121 x2

Total energy (eV/f.u.): -52.78
Volume (A^3/atom): 17.71
Density (g cm⁻³): 6.80



K3ReSe4: optimized geometry, GGA-PBE.

abc: 11.7351 11.7351 13.2066
angles: 90.00 90.00 120.00
Space group R3c (No. 161, hexagonal axes)
Symmetry-distinct sites (fractional):
K 0.1280 0.3414 0.0000 x18
Re 0.0000 0.0000 0.1554 x6
Se 0.0000 0.0000 0.3337 x6
Se 0.1981 0.4469 0.2650 x18

Total energy (eV/f.u.): -35.50
Volume (A^3/atom): 32.81
Density (g cm⁻³): 3.92



LiMgNbPd: optimized geometry, GGA-PBE.

abc: 6.347 6.347 6.347
angles: 90.00 90.00 90.00
Space group F-43m (No. 216)
Symmetry-distinct sites (fractional):
Li 0.000 0.000 0.000 x4
Mg 0.250 0.250 0.750 x4
Nb 0.250 0.250 0.250 x4
Pd 0.000 0.000 0.500 x4

Total energy (eV/f.u.): -19.26
Volume (A^3/atom): 15.98
Density (g cm⁻³): 5.99



Tm4Lu3Ni2Te2: optimized geometry, GGA-PBE.

abc: 3.807 15.298 9.435
angles: 90.00 90.00 90.00
Space group Imm2 (No. 44)
Symmetry-distinct sites (fractional):
Tm 0.000 0.146 0.000 x4
Tm 0.000 0.185 0.353 x4
Lu 0.000 0.365 0.147 x4
Lu 0.000 0.500 0.729 x2
Ni 0.000 0.263 0.660 x4
Te 0.000 0.000 0.496 x2
Te 0.000 0.500 0.390 x2

Total energy (eV/f.u.): -56.28
Volume (A^3/atom): 24.98
Density (g cm⁻³): 9.51



BeNbIn: optimized geometry, GGA-PBE.

abc: 6.263 6.263 6.263
angles: 90.00 90.00 90.00
Space group F-43m (No. 216)
Symmetry-distinct sites (fractional):
Be 0.000 0.000 0.000 x4
Nb 0.250 0.250 0.750 x4
In 0.000 0.000 0.500 x4

Total energy (eV/f.u.): -13.71
Volume (A^3/atom): 20.48
Density (g cm⁻³): 5.86



AgPbSO: optimized geometry, GGA-PBE.

abc: 4.253 4.253 8.862
angles: 90.00 90.00 90.00
Space group P4/nmm (No. 129, origin choice 2)
Symmetry-distinct sites (fractional):
Ag 0.250 0.250 0.053 x2
Pb 0.250 0.250 0.671 x2
S 0.250 0.250 0.363 x2
O 0.250 0.750 0.000 x2

Total energy (eV/f.u.): -16.55
Volume (A^3/atom): 20.04
Density (g cm⁻³): 7.52



Al5Co7: optimized geometry, GGA-PBE.

abc: 4.7508 4.7508 15.4715
angles: 90.00 90.00 120.00
Space group P6_3/mmc (No. 194)
Symmetry-distinct sites (fractional):
Al 0.0000 0.0000 0.0887 x4
Al 0.1664 0.3327 0.2500 x6
Co 0.0000 0.5000 0.0000 x6
Co 0.3333 0.6667 0.1240 x4
Co 0.3333 0.6667 0.6531 x4

Total energy (eV/f.u.): -68.29
Volume (A^3/atom): 12.60
Density (g cm⁻³): 6.01